CsTl6Pd2: optimized geometry, PBE.

The structure in extended XYZ format:
```
18
Lattice="0.000 7.017 7.017 7.017 0.000 7.017 7.017 7.017 0.000" Properties=species:S:1:pos:R:3 pbc="T T T"
Cs 1.754 1.754 1.754
Cs 12.280 12.280 12.280
Tl 5.263 5.263 2.297
Tl 5.263 2.297 5.263
Tl 8.229 5.263 5.263
Tl 8.771 8.771 5.805
Tl 8.771 5.805 8.771
Tl 11.737 8.771 8.771
Tl 2.297 5.263 5.263
Tl 5.263 8.229 5.263
Tl 5.263 5.263 8.229
Tl 5.805 8.771 8.771
Tl 8.771 11.737 8.771
Tl 8.771 8.771 11.737
Pd 7.017 3.509 3.509
Pd 3.509 7.017 3.509
Pd 3.509 3.509 7.017
Pd 7.017 7.017 7.017
```

Values from the calculation:
Energy relative to the elements in eV per atom: 0.04
Uncorrected energy in eV/atom: -2.7896